1.
VASP calculation (PBE+U) on an optimized crystal structure of LiFeSnO4.

Cell: 6.0624 6.3030 8.7388 Å, 90.00 90.00 90.00°
Space group Imma (No. 74)
One atom of each set of equivalent atoms:
Li1 0.0000 0.2500 0.1301
Fe1 0.2500 0.2500 0.7500
Sn1 0.0000 0.0000 0.5000
O1 0.0000 0.0286 0.7382
O2 0.2322 0.2500 0.5108

## Properties
- N(E_F): 0.0 states/eV/cell

2.
VASP calculation (PBE+U) on an optimized crystal structure of Li4Ti2Fe3Sn3O16.

Cell: 6.0888 6.1089 9.6870 Å, 89.73 89.42 60.25°
Space group P1 (No. 1)
One atom of each set of equivalent atoms:
Li1 0.0000 0.0000 0.0000
Li2 0.0127 0.9904 0.5097
Li3 0.3751 0.3165 0.9011
Li4 0.6883 0.6596 0.4130
Ti1 0.3830 0.3070 0.5075
Ti2 0.7288 0.6402 0.9949
Fe1 0.6844 0.1614 0.2246
Fe2 0.8580 0.8139 0.7238
Fe3 0.8610 0.3304 0.7260
Sn1 0.1973 0.1590 0.2246
Sn2 0.1976 0.6498 0.2258
Sn3 0.3661 0.8158 0.7243
O1 0.0129 0.9895 0.8145
O2 0.0182 0.9929 0.3228
O3 0.0486 0.4765 0.3506
O4 0.1810 0.6566 0.6094
O5 0.1880 0.1610 0.6066
O6 0.3554 0.8271 0.1033
O7 0.3657 0.3223 0.1083
O8 0.4895 0.4811 0.3696
O9 0.4904 0.0350 0.3680
O10 0.5568 0.5035 0.8561
O11 0.5611 0.9432 0.8494
O12 0.6827 0.1548 0.6082
O13 0.7059 0.6516 0.6170
O14 0.8666 0.8069 0.0977
O15 0.8703 0.3310 0.0941
O16 0.9898 0.5158 0.8505

## Properties
- N(E_F): 0.0 states/eV/cell

3.
VASP calculation (PBE+U) on an optimized crystal structure of Li4Ti3Fe2Sn3O16.

Cell: 10.6729 6.1109 9.9377 Å, 90.00 90.57 90.00°
Space group Cm (No. 8)
One atom of each set of equivalent atoms:
Li1 0.0000 0.0000 0.0000
Li2 0.0093 0.0000 0.4952
Li3 0.1593 0.5000 0.8907
Li4 0.3224 0.0000 0.3856
Ti1 0.0759 0.2538 0.2148
Ti2 0.1652 0.0000 0.7195
Fe1 0.1587 0.5000 0.4921
Fe2 0.3260 0.0000 0.9963
Sn1 0.3221 0.5000 0.2110
Sn2 0.4115 0.2467 0.7123
O1 0.0022 0.0000 0.8183
O2 0.0081 0.5000 0.3193
O3 0.0810 0.2330 0.6059
O4 0.1485 0.0000 0.1123
O5 0.1486 0.5000 0.1015
O6 0.2272 0.2725 0.3286
O7 0.2494 0.2212 0.8311
O8 0.3210 0.0000 0.5976
O9 0.3430 0.5000 0.5947
O10 0.4171 0.2633 0.1009
O11 0.4795 0.0000 0.8348
O12 0.4971 0.5000 0.3133

4.
VASP calculation (PBE+U) on an optimized crystal structure of Li4V3Fe2Sn3O16.

Cell: 6.1111 6.1327 9.7032 Å, 89.95 89.73 60.26°
Space group P1 (No. 1)
One atom of each set of equivalent atoms:
Li1 0.0000 0.0000 0.0000
Li2 0.0157 0.9862 0.4920
Li3 0.3478 0.3038 0.5946
Li4 0.6870 0.6205 0.1004
V1 0.2037 0.1263 0.2736
V2 0.6798 0.1422 0.2820
V3 0.8441 0.3129 0.7769
Fe1 0.3465 0.3047 0.0007
Fe2 0.6911 0.6288 0.4980
Sn1 0.1836 0.6281 0.2779
Sn2 0.3533 0.8032 0.7769
Sn3 0.8441 0.8042 0.7775
O1 0.0148 0.9734 0.6756
O2 0.0243 0.9736 0.1828
O3 0.0577 0.4361 0.1497
O4 0.1726 0.1446 0.8913
O5 0.1736 0.6520 0.9006
O6 0.3396 0.2978 0.3903
O7 0.3456 0.8125 0.3917
O8 0.4840 0.0067 0.1593
O9 0.5024 0.4362 0.1496
O10 0.5336 0.9366 0.6453
O11 0.5390 0.4867 0.6489
O12 0.6781 0.6423 0.8949
O13 0.6836 0.1436 0.8928
O14 0.8459 0.8158 0.3932
O15 0.8635 0.2967 0.3840
O16 0.9770 0.4880 0.6499

5.
VASP calculation (PBE+U) on an optimized crystal structure of LiTaFe2O6.

Cell: 5.1020 5.1020 14.0673 Å, 90.00 90.00 120.00°
Space group R3 (No. 146, hexagonal axes)
One atom of each set of equivalent atoms:
Li1 0.0000 0.0000 0.0000
Ta1 0.0000 0.0000 0.5195
Fe1 0.0000 0.0000 0.2158
Fe2 0.0000 0.0000 0.7206
O1 0.0214 0.3491 0.7930
O2 0.0519 0.6971 0.2848

## Properties
- N(E_F): 0.0 states/eV/cell

6.
VASP calculation (PBE+U) on an optimized crystal structure of LiFeTeO4.

Cell: 5.9902 9.4887 6.1865 Å, 90.00 90.00 90.00°
Space group Cmcm (No. 63)
One atom of each set of equivalent atoms:
Li1 0.0000 0.1579 0.2500
Fe1 0.0000 0.5000 0.0000
Te1 0.0000 0.1584 0.7500
O1 0.0000 0.2829 0.9999
O2 0.2315 0.4974 0.7500

Total DFT energy (no corrections) readings, ordered: -6.178, -6.620, -6.900, -6.554, -7.341, -5.602 eV per atom